# Zn2TeBr, optimized geometry, DFT PBE
# Offset from the most stable computed form, meV/atom: 331.8
# Final energy, eV per atom: -1.783
# Spin magnetization, μB/f.u.: 0.00
# Calculated volume, A^3/atom: 23.33
# Raw formation energy, eV/atom: 0.06
data_Zn2TeBr
_chemical_formula_sum 'Zn2 Te1 Br1'
_cell_length_a 3.5842
_cell_length_b 3.5842
_cell_length_c 7.2646
_cell_angle_alpha 90.00
_cell_angle_beta 90.00
_cell_angle_gamma 90.00
_space_group_name_H-M_alt 'P 1'
_space_group_IT_number 1
loop_
_space_group_symop_operation_xyz
'x,y,z'
loop_
_atom_site_label
_atom_site_type_symbol
_atom_site_fract_x
_atom_site_fract_y
_atom_site_fract_z
Zn1 Zn 0.0000 0.0000 0.2264
Zn2 Zn 0.0000 0.0000 0.7736
Te1 Te 0.5000 0.5000 0.0000
Br1 Br 0.5000 0.5000 0.5000

# Ce2PmMnN5, optimized geometry, DFT PBE
# Final energy, eV per atom: -8.643
# Spin magnetization, μB/f.u.: 2.30
# Calculated volume, A^3/atom: 13.46
# Raw formation energy, eV/atom: -1.15
data_Ce2PmMnN5
_chemical_formula_sum 'Ce4 Pm2 Mn2 N10'
_cell_length_a 7.2664
_cell_length_b 7.2664
_cell_length_c 7.2664
_cell_angle_alpha 126.05
_cell_angle_beta 126.05
_cell_angle_gamma 79.80
_space_group_name_H-M_alt 'P 1'
_space_group_IT_number 1
loop_
_space_group_symop_operation_xyz
'x,y,z'
loop_
_atom_site_label
_atom_site_type_symbol
_atom_site_fract_x
_atom_site_fract_y
_atom_site_fract_z
Ce1 Ce 0.1740 0.6740 0.8481
Ce2 Ce 0.3260 0.1740 0.5000
Ce3 Ce 0.6740 0.8260 0.5000
Ce4 Ce 0.8260 0.3260 0.1519
Pm1 Pm 0.2500 0.2500 0.0000
Pm2 Pm 0.7500 0.7500 0.0000
Mn1 Mn 0.2500 0.7500 0.5000
Mn2 Mn 0.7500 0.2500 0.5000
N1 N 0.0000 0.0000 0.0000
N2 N 0.0007 0.7905 0.5000
N3 N 0.2095 0.7095 0.2102
N4 N 0.2905 0.5007 0.5000
N5 N 0.4993 0.9993 0.7898
N6 N 0.5000 0.5000 0.0000
N7 N 0.5007 0.0007 0.2102
N8 N 0.7095 0.4993 0.5000
N9 N 0.7905 0.2905 0.7898
N10 N 0.9993 0.2095 0.5000

# FePb3N, optimized geometry, DFT PBE
# Offset from the most stable computed form, meV/atom: 0.0
# Final energy, eV per atom: -4.612
# Spin magnetization, μB/f.u.: 2.81
# Calculated volume, A^3/atom: 24.09
# Raw formation energy, eV/atom: 0.97
data_FePb3N
_chemical_formula_sum 'Fe1 Pb3 N1'
_cell_length_a 4.9387
_cell_length_b 4.9387
_cell_length_c 4.9387
_cell_angle_alpha 90.00
_cell_angle_beta 90.00
_cell_angle_gamma 90.00
_space_group_name_H-M_alt 'P 1'
_space_group_IT_number 1
loop_
_space_group_symop_operation_xyz
'x,y,z'
loop_
_atom_site_label
_atom_site_type_symbol
_atom_site_fract_x
_atom_site_fract_y
_atom_site_fract_z
Fe1 Fe 0.0000 0.0000 0.0000
Pb1 Pb 0.0000 0.5000 0.5000
Pb2 Pb 0.5000 0.0000 0.5000
Pb3 Pb 0.5000 0.5000 0.0000
N1 N 0.5000 0.5000 0.5000

# BiPN2, optimized geometry, DFT PBE
# Offset from the most stable computed form, meV/atom: 1412.0
# Final energy, eV per atom: -4.822
# Spin magnetization, μB/f.u.: 0.00
# Calculated volume, A^3/atom: 13.12
# Raw formation energy, eV/atom: 1.66
data_BiPN2
_chemical_formula_sum 'Bi1 P1 N2'
_cell_length_a 4.2022
_cell_length_b 4.2022
_cell_length_c 4.2022
_cell_angle_alpha 60.00
_cell_angle_beta 60.00
_cell_angle_gamma 60.00
_space_group_name_H-M_alt 'P 1'
_space_group_IT_number 1
loop_
_space_group_symop_operation_xyz
'x,y,z'
loop_
_atom_site_label
_atom_site_type_symbol
_atom_site_fract_x
_atom_site_fract_y
_atom_site_fract_z
Bi1 Bi 0.0000 0.0000 0.0000
P1 P 0.5000 0.5000 0.5000
N1 N 0.2500 0.2500 0.2500
N2 N 0.7500 0.7500 0.7500

# FeOsRu2, optimized geometry, DFT PBE
# Final energy, eV per atom: -9.152
# Spin magnetization, μB/f.u.: 4.08
# Calculated volume, A^3/atom: 14.05
# Energy of formation, eV per atom: 0.409
data_FeOsRu2
_chemical_formula_sum 'Fe1 Os1 Ru2'
_cell_length_a 4.5080
_cell_length_b 4.5080
_cell_length_c 2.7651
_cell_angle_alpha 90.00
_cell_angle_beta 90.00
_cell_angle_gamma 90.00
_space_group_name_H-M_alt 'P 1'
_space_group_IT_number 1
loop_
_space_group_symop_operation_xyz
'x,y,z'
loop_
_atom_site_label
_atom_site_type_symbol
_atom_site_fract_x
_atom_site_fract_y
_atom_site_fract_z
Fe1 Fe 0.0000 0.0000 0.0000
Os1 Os 0.5000 0.5000 0.0000
Ru1 Ru 0.0000 0.5000 0.5000
Ru2 Ru 0.5000 0.0000 0.5000

# Ho2PuAs3, optimized geometry, DFT PBE
# Final energy, eV per atom: -7.241
# Spin magnetization, μB/f.u.: 0.13
# Calculated volume, A^3/atom: 23.93
# Energy of formation, eV per atom: -1.002
data_Ho2PuAs3
_chemical_formula_sum 'Ho2 Pu1 As3'
_cell_length_a 9.0923
_cell_length_b 9.0923
_cell_length_c 9.0923
_cell_angle_alpha 154.06
_cell_angle_beta 154.06
_cell_angle_gamma 37.01
_space_group_name_H-M_alt 'P 1'
_space_group_IT_number 1
loop_
_space_group_symop_operation_xyz
'x,y,z'
loop_
_atom_site_label
_atom_site_type_symbol
_atom_site_fract_x
_atom_site_fract_y
_atom_site_fract_z
Ho1 Ho 0.1682 0.1682 0.0000
Ho2 Ho 0.8318 0.8318 0.0000
Pu1 Pu 0.5000 0.5000 0.0000
As1 As 0.0000 0.0000 0.0000
As2 As 0.3355 0.3355 0.0000
As3 As 0.6645 0.6645 0.0000

# Te2PAu, optimized geometry, DFT PBE
# Final energy, eV per atom: -3.343
# Spin magnetization, μB/f.u.: 0.00
# Calculated volume, A^3/atom: 28.78
# Raw formation energy, eV/atom: 0.40
data_Te2PAu
_chemical_formula_sum 'Te2 P1 Au1'
_cell_length_a 3.8636
_cell_length_b 3.8749
_cell_length_c 7.6887
_cell_angle_alpha 90.00
_cell_angle_beta 90.00
_cell_angle_gamma 90.00
_space_group_name_H-M_alt 'P 1'
_space_group_IT_number 1
loop_
_space_group_symop_operation_xyz
'x,y,z'
loop_
_atom_site_label
_atom_site_type_symbol
_atom_site_fract_x
_atom_site_fract_y
_atom_site_fract_z
Te1 Te 0.0000 0.0000 0.0000
Te2 Te 0.5000 0.0000 0.5000
P1 P 0.0000 0.5000 0.5000
Au1 Au 0.5000 0.5000 0.0000

# Ac2Tb3Ni2, optimized geometry, DFT PBE
# Final energy, eV per atom: -5.006
# Spin magnetization, μB/f.u.: 0.00
# Calculated volume, A^3/atom: 28.47
# Energy of formation, eV per atom: -0.196
data_Ac2Tb3Ni2
_chemical_formula_sum 'Ac2 Tb3 Ni2'
_cell_length_a 6.4958
_cell_length_b 6.4958
_cell_length_c 9.2772
_cell_angle_alpha 113.37
_cell_angle_beta 113.37
_cell_angle_gamma 34.02
_space_group_name_H-M_alt 'P 1'
_space_group_IT_number 1
loop_
_space_group_symop_operation_xyz
'x,y,z'
loop_
_atom_site_label
_atom_site_type_symbol
_atom_site_fract_x
_atom_site_fract_y
_atom_site_fract_z
Ac1 Ac 0.1652 0.1652 0.2987
Ac2 Ac 0.8348 0.8348 0.7013
Tb1 Tb 0.3814 0.3814 0.0779
Tb2 Tb 0.5000 0.5000 0.5000
Tb3 Tb 0.6186 0.6186 0.9221
Ni1 Ni 0.1580 0.1580 0.7339
Ni2 Ni 0.8420 0.8420 0.2661

# Pr2LuZr, optimized geometry, DFT PBE
# Offset from the most stable computed form, meV/atom: 144.3
# Final energy, eV per atom: -5.342
# Spin magnetization, μB/f.u.: 0.00
# Calculated volume, A^3/atom: 30.65
# Energy of formation, eV per atom: 0.315
data_Pr2LuZr
_chemical_formula_sum 'Pr2 Lu1 Zr1'
_cell_length_a 12.3402
_cell_length_b 12.3402
_cell_length_c 12.3402
_cell_angle_alpha 15.88
_cell_angle_beta 15.88
_cell_angle_gamma 15.88
_space_group_name_H-M_alt 'P 1'
_space_group_IT_number 1
loop_
_space_group_symop_operation_xyz
'x,y,z'
loop_
_atom_site_label
_atom_site_type_symbol
_atom_site_fract_x
_atom_site_fract_y
_atom_site_fract_z
Pr1 Pr 0.0860 0.0860 0.0860
Pr2 Pr 0.9140 0.9140 0.9140
Lu1 Lu 0.5000 0.5000 0.5000
Zr1 Zr 0.0000 0.0000 0.0000

# Nd4Zn3Rh, optimized geometry, DFT PBE
# Final energy, eV per atom: -4.175
# Spin magnetization, μB/f.u.: 0.00
# Calculated volume, A^3/atom: 24.39
# Energy of formation, eV per atom: -0.395
data_Nd4Zn3Rh
_chemical_formula_sum 'Nd4 Zn3 Rh1'
_cell_length_a 3.6599
_cell_length_b 3.6599
_cell_length_c 14.5670
_cell_angle_alpha 90.00
_cell_angle_beta 90.00
_cell_angle_gamma 90.00
_space_group_name_H-M_alt 'P 1'
_space_group_IT_number 1
loop_
_space_group_symop_operation_xyz
'x,y,z'
loop_
_atom_site_label
_atom_site_type_symbol
_atom_site_fract_x
_atom_site_fract_y
_atom_site_fract_z
Nd1 Nd 0.0000 0.0000 0.1149
Nd2 Nd 0.0000 0.0000 0.3738
Nd3 Nd 0.0000 0.0000 0.6262
Nd4 Nd 0.0000 0.0000 0.8851
Zn1 Zn 0.5000 0.5000 0.2480
Zn2 Zn 0.5000 0.5000 0.5000
Zn3 Zn 0.5000 0.5000 0.7520
Rh1 Rh 0.5000 0.5000 0.0000